[1]
This record from Alexandria describes Hf2AlBr after structural relaxation. The functional is GGA-PBE.

formation energy from raw total energies: 0.33 eV/atom
ΔE to the lowest computed polymorph: 0.245 eV per atom
magnetization: 0.0 μB/f.u.

Cell: 4.2116 4.2116 10.5323 Å, 78.47 78.47 90.00°
Fractional coordinates of all 8 atoms:
Br: 0.0000 0.0000 0.0000
Hf: 0.1331 0.6250 0.2500
Hf: 0.8750 0.8669 0.7500
Hf: 0.3750 0.3831 0.7500
Hf: 0.6169 0.1250 0.2500
Al: 0.5000 0.5000 0.0000
Br: 0.7500 0.2500 0.5000
Al: 0.2500 0.7500 0.5000

[2]
This record from Alexandria describes LiAg2PdBr6 after structural relaxation. The functional is GGA-PBE.

formation energy from raw total energies: -0.50 eV/atom
magnetization: 0.9 μB/f.u.

Cell: 7.3041 7.1011 7.7525 Å, 54.38 69.11 57.75°
Fractional coordinates of all 10 atoms:
Ag: 0.9973 0.0330 0.9808
Br: 0.6432 0.1761 0.7652
Br: 0.3048 0.9092 0.2323
Br: 0.3304 0.7666 0.7797
Br: 0.0409 0.4861 0.7475
Ag: 0.6666 0.4793 0.3066
Li: 0.6643 0.8489 0.6872
Br: 0.0416 0.4887 0.2465
Pd: 0.3296 0.3300 0.0040
Br: 0.6429 0.1437 0.2653

[3]
This record from Alexandria describes NaTcNi after structural relaxation. The functional is GGA-PBE.

formation enthalpy at 0 K: 48.5 kJ per mole of atoms
ΔE to the lowest computed polymorph: 0.261 eV per atom
magnetization: 0.0 μB/f.u.

Cell: 7.2628 3.7357 7.3288 Å, 90.00 90.00 90.00°
Fractional coordinates of all 12 atoms:
Ni: 0.7785 0.7500 0.6714
Na: 0.5208 0.7500 0.3622
Tc: 0.8996 0.2500 0.4609
Na: 0.4792 0.2500 0.6378
Ni: 0.2785 0.7500 0.8286
Ni: 0.2215 0.2500 0.3286
Tc: 0.1004 0.7500 0.5391
Tc: 0.6004 0.7500 0.9609
Na: 0.9792 0.2500 0.8622
Ni: 0.7215 0.2500 0.1714
Tc: 0.3996 0.2500 0.0391
Na: 0.0208 0.7500 0.1378

[4]
This record from Alexandria describes ZrCo2Au after structural relaxation. The functional is GGA-PBE.

formation enthalpy at 0 K: 14.1 kJ per mole of atoms
ΔE to the lowest computed polymorph: 0.378 eV per atom
magnetization: 2.1 μB/f.u.

Cell: 5.1731 5.1731 2.8181 Å, 76.73 76.73 114.58°
Fractional coordinates of all 4 atoms:
Au: 0.0000 0.5000 0.5000
Zr: 0.5000 0.0000 0.5000
Co: 0.0000 0.0000 0.0000
Co: 0.5000 0.5000 0.0000